(1)
Na2PdC after structural relaxation, computed with PBE.

Lattice parameters (Å, degrees): 10.946 10.946 7.976 46.67 46.67 90.00
Atoms (fractional coordinates):
Na1 0.875 0.125 0.250
Na2 0.875 0.625 0.250
Na3 0.375 0.125 0.750
Na4 0.875 0.125 0.750
C1 0.500 0.500 0.000
C2 0.250 0.750 0.500
Pd1 0.000 0.000 0.000
Pd2 0.750 0.250 0.500

Results
For the density of states at the Fermi level, the calculation gives 2.39 states/eV/cell. Its theoretical density is 2.37 g/cm3. As for the total magnetization: 0.0 μB/f.u. Its total energy is -3.75 eV per atom. For the formation enthalpy at 0 K, the calculation gives 0.518 eV per atom.

---

(2)
ZnAg2Os after structural relaxation, computed with PBE.

Lattice parameters (Å, degrees): 4.865 4.865 5.133 80.47 80.47 32.29
Atoms (fractional coordinates):
Ag1 0.995 0.995 0.989
Ag2 0.752 0.752 0.754
Os1 0.505 0.505 0.474
Zn1 0.248 0.248 0.282

Results
For the density of states at the Fermi level, the calculation gives 2.21 states/eV/cell. Its theoretical density is 12.24 g/cm3. As for the total magnetization: 0.0 μB/f.u. Its total energy is -4.13 eV per atom. For the formation enthalpy at 0 K, the calculation gives 0.425 eV per atom.

---

(3)
Li2SnB after structural relaxation, computed with PBE.

Lattice parameters (Å, degrees): 9.219 9.219 6.869 47.85 47.85 90.00
Atoms (fractional coordinates):
B1 0.500 0.500 0.000
B2 0.250 0.750 0.500
Sn1 0.000 0.000 0.000
Sn2 0.750 0.250 0.500
Li1 0.411 0.125 0.250
Li2 0.339 0.625 0.250
Li3 0.375 0.589 0.750
Li4 0.875 0.661 0.750

Results
For the density of states at the Fermi level, the calculation gives 4.12 states/eV/cell. Its theoretical density is 2.59 g/cm3. As for the total magnetization: 0.0 μB/f.u. Its total energy is -3.22 eV per atom. For the formation enthalpy at 0 K, the calculation gives 0.409 eV per atom. As for the energy above the most stable polymorph in this dataset: 0 meV/atom.

---

(4)
Er12OsPb6 after structural relaxation, computed with PBE.

Lattice parameters (Å, degrees): 8.597 8.597 8.597 99.51 99.51 99.51
Atoms (fractional coordinates):
Er1 0.798 0.582 0.452
Er2 0.452 0.798 0.582
Er3 0.582 0.452 0.798
Er4 0.202 0.418 0.548
Er5 0.548 0.202 0.418
Er6 0.418 0.548 0.202
Er7 0.055 0.993 0.313
Er8 0.007 0.687 0.945
Er9 0.687 0.945 0.007
Er10 0.945 0.007 0.687
Er11 0.993 0.313 0.055
Er12 0.313 0.055 0.993
Os1 0.000 0.000 0.000
Pb1 0.681 0.880 0.350
Pb2 0.650 0.319 0.120
Pb3 0.120 0.650 0.319
Pb4 0.319 0.120 0.650
Pb5 0.350 0.681 0.880
Pb6 0.880 0.350 0.681

Results
For the density of states at the Fermi level, the calculation gives 18.46 states/eV/cell. Its theoretical density is 9.43 g/cm3. As for the total magnetization: 0.0 μB/f.u. Its total energy is -4.87 eV per atom. For the formation enthalpy at 0 K, the calculation gives -0.225 eV per atom.

---

(5)
AcZnCd2Pd2 after structural relaxation, computed with PBE.

Lattice parameters (Å, degrees): 5.344 5.344 6.571 113.99 113.99 90.00
Atoms (fractional coordinates):
Ac1 0.500 0.500 0.000
Zn1 0.000 0.000 0.000
Cd1 0.250 0.750 0.500
Cd2 0.750 0.250 0.500
Pd1 0.774 0.774 0.547
Pd2 0.226 0.226 0.453

Results
For the density of states at the Fermi level, the calculation gives 3.06 states/eV/cell. Its theoretical density is 7.90 g/cm3. As for the total magnetization: 0.0 μB/f.u. Its total energy is -3.20 eV per atom. For the formation enthalpy at 0 K, the calculation gives -0.268 eV per atom.

---

(6)
Cd2AuSe after structural relaxation, computed with PBE.

Lattice parameters (Å, degrees): 4.109 4.109 6.846 72.74 72.74 59.47
Atoms (fractional coordinates):
Au1 0.250 0.250 0.250
Cd1 0.999 0.999 0.004
Cd2 0.501 0.501 0.496
Se1 0.750 0.750 0.750

Results
For the density of states at the Fermi level, the calculation gives 1.14 states/eV/cell. Its theoretical density is 8.89 g/cm3. As for the total magnetization: 0.0 μB/f.u. Its total energy is -2.37 eV per atom. The value obtained for the formation energy (no corrections) is -0.227 eV/atom.

---

(7)
LaCeTiN3 after structural relaxation, computed with PBE.

Lattice parameters (Å, degrees): 3.616 7.497 7.785 97.09 90.00 90.00
Atoms (fractional coordinates):
La1 0.750 0.837 0.833
La2 0.250 0.163 0.167
Ce1 0.250 0.630 0.169
Ce2 0.750 0.370 0.831
Ti1 0.250 0.102 0.597
Ti2 0.750 0.898 0.403
N1 0.250 0.841 0.488
N2 0.750 0.886 0.152
N3 0.750 0.401 0.123
N4 0.750 0.159 0.512
N5 0.250 0.599 0.877
N6 0.250 0.114 0.848

Results
For the density of states at the Fermi level, the calculation gives 7.79 states/eV/cell. Its theoretical density is 5.85 g/cm3. As for the total magnetization: 0.7 μB/f.u. Its total energy is -8.58 eV per atom. The value obtained for the formation energy (no corrections) is -1.296 eV/atom.

---

(8)
Ti6MnSn after structural relaxation, computed with PBE.

Lattice parameters (Å, degrees): 5.721 5.847 5.679 59.02 75.95 61.86
Atoms (fractional coordinates):
Ti1 0.731 0.497 0.556
Ti2 0.731 0.053 0.444
Ti3 0.269 0.947 0.556
Ti4 0.269 0.503 0.444
Ti5 0.713 0.731 0.000
Ti6 0.287 0.269 0.000
Mn1 0.500 0.500 0.000
Sn1 0.000 0.000 0.000

Results
For the density of states at the Fermi level, the calculation gives 8.94 states/eV/cell. Its theoretical density is 5.33 g/cm3. As for the total magnetization: 1.4 μB/f.u. Its total energy is -7.32 eV per atom. For the formation enthalpy at 0 K, the calculation gives 0.250 eV per atom.